Sr2La2Ge: optimized geometry, GGA-PBE.

The energy above the lowest structure with this stoichiometry is 7.911 kcal/mol of atoms. For the calculated formation energy, the calculation gives 0.301 eV per atom.

Cell and atoms, written as extended XYZ:
```
5
Lattice="-1.416 -1.486 -3.980 3.395 -2.917 -0.119 -4.520 -8.796 2.374" Properties=species:S:1:pos:R:3 pbc="T T T"
La 0.149 -3.208 -1.374
La -2.689 -9.991 -0.350
Ge 0.000 0.000 0.000
Sr -2.473 -6.242 -1.827
Sr -0.067 -6.957 0.103
```

***

KAsSe2S: optimized geometry, GGA-PBE.

The value obtained for the formation energy from raw total energies is 0.096 eV/atom. The energy above the lowest structure with this stoichiometry is 0.000 kcal/mol of atoms.

Cell and atoms, written as extended XYZ:
```
5
Lattice="5.117 0.000 0.000 0.000 5.117 0.000 0.000 0.000 4.950" Properties=species:S:1:pos:R:3 pbc="T T T"
Se 2.559 0.000 0.000
Se 0.000 2.559 0.000
K 2.559 2.559 2.475
As 0.000 0.000 2.475
S 0.000 0.000 0.000
```

***

LaYSO2: optimized geometry, GGA-PBE.

The value obtained for the formation energy from raw total energies is -3.109 eV/atom.

Cell and atoms, written as extended XYZ:
```
10
Lattice="-2.839 2.433 1.685 -4.719 -3.899 -2.320 2.081 -2.449 7.040" Properties=species:S:1:pos:R:3 pbc="T T T"
S 0.635 -1.398 5.584
S -6.113 -2.516 0.821
Y -2.439 -0.826 4.570
Y -3.039 -3.088 1.835
La -3.412 0.478 1.047
La -2.065 -4.393 5.358
O -3.767 -1.147 2.796
O -1.711 -2.767 3.609
O -2.729 -1.593 0.198
O -2.749 -2.322 6.207
```

***

Ag2SbBr5: optimized geometry, GGA-PBE.

The value obtained for the formation energy from raw total energies is -0.431 eV/atom.

Cell and atoms, written as extended XYZ:
```
8
Lattice="6.903 1.007 2.856 3.928 7.894 1.967 0.233 2.164 6.516" Properties=species:S:1:pos:R:3 pbc="T T T"
Sb 7.030 3.441 9.079
Br 5.954 8.563 7.267
Br 2.001 4.349 6.473
Br 4.011 7.260 4.041
Br 4.933 3.331 3.600
Br 8.386 7.312 3.859
Ag 4.294 2.443 5.979
Ag 6.721 5.321 3.166
```

***

La6Y16Tm7: optimized geometry, GGA-PBE.

For the calculated formation energy, the calculation gives 0.238 eV per atom.

Cell and atoms, written as extended XYZ:
```
29
Lattice="9.759 0.000 5.634 3.253 9.201 5.634 0.000 0.000 11.269" Properties=species:S:1:pos:R:3 pbc="T T T"
Y 4.475 3.164 7.751
Y 6.506 0.292 11.269
Y 3.253 5.842 5.634
Y 9.759 3.359 16.903
Y 1.583 1.120 2.742
Y 6.592 1.120 5.634
Y 2.444 6.037 11.269
Y 6.506 8.909 11.269
Y 10.568 3.164 11.269
Y 8.537 6.037 7.751
Y 1.583 1.120 8.526
Y 11.429 8.081 14.011
Y 6.420 8.081 16.903
Y 11.429 8.081 19.795
Y 4.475 3.164 14.786
Y 8.537 6.037 14.786
Tm 1.626 4.600 2.817
Tm 0.000 0.000 0.000
Tm 0.000 0.000 5.634
Tm 6.506 4.600 5.634
Tm 4.879 0.000 2.817
Tm 1.626 4.600 8.452
Tm 4.879 0.000 8.452
La 7.903 2.625 8.849
La 5.109 6.576 8.849
La 7.903 2.625 13.688
La 5.109 6.576 13.688
La 9.300 6.576 11.269
La 3.712 2.625 11.269
```

***

Mn2TlCd: optimized geometry, GGA-PBE.

For the calculated formation energy, the calculation gives 0.694 eV per atom.

Cell and atoms, written as extended XYZ:
```
8
Lattice="7.519 0.000 0.000 0.000 7.519 0.000 3.759 3.759 2.931" Properties=species:S:1:pos:R:3 pbc="T T T"
Cd 3.759 7.519 1.466
Cd 3.759 3.759 0.000
Tl 0.000 0.000 0.000
Tl 7.519 3.759 1.466
Mn 5.639 5.653 2.199
Mn 1.893 5.639 0.733
Mn 5.625 1.880 0.733
Mn 9.398 9.385 2.199
```

***

Ba2LaRh: optimized geometry, GGA-PBE.

The energy above the lowest structure with this stoichiometry is 16.122 kcal/mol of atoms. For the calculated formation energy, the calculation gives 0.366 eV per atom.

Cell and atoms, written as extended XYZ:
```
4
Lattice="0.000 4.012 4.012 4.012 0.000 4.012 4.012 4.012 0.000" Properties=species:S:1:pos:R:3 pbc="T T T"
Ba 6.018 6.018 6.018
Ba 2.006 2.006 2.006
La 4.012 4.012 4.012
Rh 0.000 0.000 0.000
```

***

PmZnC2O6: optimized geometry, GGA-PBE.

The value obtained for the formation energy from raw total energies is -1.700 eV/atom.

Cell and atoms, written as extended XYZ:
```
10
Lattice="5.134 0.000 0.000 2.567 4.446 0.000 2.567 1.482 5.905" Properties=species:S:1:pos:R:3 pbc="T T T"
O 3.868 1.461 1.379
O 6.399 4.466 4.526
O 8.333 3.309 4.526
O 8.369 5.563 4.526
O 1.934 2.619 1.379
O 1.898 0.365 1.379
C 7.701 4.446 4.532
C 2.567 1.482 1.373
Zn 5.134 2.964 2.952
Pm 0.000 0.000 0.000
```

***

Ir2Ru2Rh7: optimized geometry, GGA-PBE.

The energy above the lowest structure with this stoichiometry is 0.000 kcal/mol of atoms. For the calculated formation energy, the calculation gives 0.161 eV per atom.

Cell and atoms, written as extended XYZ:
```
11
Lattice="5.008 0.414 -0.360 -0.685 4.978 -0.360 -0.315 -0.393 6.498" Properties=species:S:1:pos:R:3 pbc="T T T"
Rh -0.158 -0.197 3.249
Rh 2.188 0.487 1.783
Rh 4.008 2.757 3.996
Rh 3.602 4.493 -0.112
Rh -0.001 2.242 1.783
Rh 0.405 0.505 5.891
Rh 1.819 4.511 3.996
Ir 2.476 3.088 1.819
Ir 1.532 1.910 3.960
Ru 3.206 1.858 -0.360
Ru 1.116 3.533 -0.360
```

***

CdNi3: optimized geometry, GGA-PBE.

For the calculated formation energy, the calculation gives 0.174 eV per atom.

Cell and atoms, written as extended XYZ:
```
4
Lattice="4.440 0.000 0.000 0.000 2.751 0.000 2.220 1.375 4.295" Properties=species:S:1:pos:R:3 pbc="T T T"
Ni 2.093 1.375 0.000
Ni 1.622 2.751 2.034
Ni 3.842 1.375 2.261
Cd 4.284 0.000 0.000
```

***

CaRe: optimized geometry, GGA-PBE.

The energy above the lowest structure with this stoichiometry is 8.487 kcal/mol of atoms. For the calculated formation energy, the calculation gives 0.670 eV per atom.

Cell and atoms, written as extended XYZ:
```
4
Lattice="4.727 0.001 0.001 2.097 4.237 0.001 2.097 1.302 4.032" Properties=species:S:1:pos:R:3 pbc="T T T"
Re 7.957 4.941 3.597
Re 0.964 0.598 0.436
Ca 3.298 2.048 1.491
Ca 5.623 3.492 2.542
```

***

Sc5AlPd4: optimized geometry, GGA-PBE.

For the calculated formation energy, the calculation gives -0.809 eV per atom.

Cell and atoms, written as extended XYZ:
```
10
Lattice="3.299 0.000 0.000 0.000 3.299 0.000 0.000 0.000 16.907" Properties=species:S:1:pos:R:3 pbc="T T T"
Al 0.000 0.000 0.000
Pd 0.000 0.000 6.761
Pd 0.000 0.000 3.387
Pd 0.000 0.000 10.146
Pd 0.000 0.000 13.520
Sc 1.650 1.650 15.132
Sc 1.650 1.650 5.095
Sc 1.650 1.650 11.812
Sc 1.650 1.650 8.453
Sc 1.650 1.650 1.775
```

***

CoRu2Rh6: optimized geometry, GGA-PBE.

For the calculated formation energy, the calculation gives 0.221 eV per atom.

Cell and atoms, written as extended XYZ:
```
9
Lattice="0.042 -3.806 2.636 3.346 -3.242 -0.606 5.559 1.545 4.206" Properties=species:S:1:pos:R:3 pbc="T T T"
Rh 2.635 -4.531 2.638
Rh 3.845 -1.569 2.830
Rh 5.189 -2.449 5.603
Rh 6.312 -0.972 3.598
Rh 5.102 -3.933 3.406
Rh 3.757 -3.054 0.633
Ru 1.471 -2.213 1.879
Ru 7.475 -3.289 4.358
Co 2.779 0.773 2.103
```

***

BaSr2P: optimized geometry, GGA-PBE.

For the calculated formation energy, the calculation gives -0.559 eV per atom.

Cell and atoms, written as extended XYZ:
```
8
Lattice="-0.662 4.057 -0.886 -6.248 -2.620 2.756 3.680 3.057 11.248" Properties=species:S:1:pos:R:3 pbc="T T T"
Sr -1.737 2.142 1.178
Sr -1.494 2.352 11.941
Sr -2.673 1.372 8.335
Sr -0.558 3.122 4.784
Ba 1.141 2.147 9.005
Ba -4.372 2.346 4.113
P -1.465 3.974 9.361
P -1.766 0.519 3.757
```

***

ZrBe2FeRh: optimized geometry, GGA-PBE.

For the calculated formation energy, the calculation gives 0.530 eV per atom.

Cell and atoms, written as extended XYZ:
```
5
Lattice="-3.404 1.062 -2.184 -1.708 -3.721 0.852 -2.043 1.876 4.097" Properties=species:S:1:pos:R:3 pbc="T T T"
Zr -1.022 0.938 2.048
Fe -3.578 -0.391 1.382
Be -1.702 0.531 -1.092
Be -0.854 -1.861 0.426
Rh 0.000 0.000 0.000
```

***

RbScTi3: optimized geometry, GGA-PBE.

The energy above the lowest structure with this stoichiometry is 0.000 kcal/mol of atoms. For the calculated formation energy, the calculation gives 1.419 eV per atom.

Cell and atoms, written as extended XYZ:
```
5
Lattice="5.165 0.000 0.000 0.000 5.165 0.000 0.000 0.000 5.165" Properties=species:S:1:pos:R:3 pbc="T T T"
Rb 2.582 2.582 2.582
Ti 2.582 0.000 0.000
Ti 0.000 0.000 2.582
Ti 0.000 2.582 0.000
Sc 0.000 0.000 0.000
```

***

NdPaVN3: optimized geometry, GGA-PBE.

The value obtained for the formation energy from raw total energies is -1.219 eV/atom.

Cell and atoms, written as extended XYZ:
```
12
Lattice="3.514 0.000 0.000 0.000 7.156 0.792 0.000 -1.984 7.632" Properties=species:S:1:pos:R:3 pbc="T T T"
N 2.635 5.983 1.852
N 2.635 2.789 1.296
N 2.635 0.128 4.237
N 0.878 2.384 7.128
N 0.878 5.045 4.187
N 0.878 -0.811 6.572
Nd 2.635 4.376 7.073
Nd 0.878 0.796 1.351
Pa 2.635 0.873 6.632
Pa 0.878 4.300 1.792
V 2.635 5.775 3.790
V 0.878 -0.603 4.634
```

***

CsFeOs3: optimized geometry, GGA-PBE.

For the calculated formation energy, the calculation gives 2.189 eV per atom.

Cell and atoms, written as extended XYZ:
```
5
Lattice="4.637 0.000 0.000 0.000 4.637 0.000 0.000 0.000 4.637" Properties=species:S:1:pos:R:3 pbc="T T T"
Os 0.000 0.000 2.319
Os 2.319 0.000 0.000
Os 0.000 2.319 0.000
Fe 0.000 0.000 0.000
Cs 2.319 2.319 2.319
```

***

Cd3InO4: optimized geometry, GGA-PBE.

The value obtained for the formation energy from raw total energies is -1.105 eV/atom.

Cell and atoms, written as extended XYZ:
```
16
Lattice="5.904 0.000 0.000 0.000 6.346 0.000 0.000 0.000 7.327" Properties=species:S:1:pos:R:3 pbc="T T T"
In 0.019 1.067 0.000
In 2.971 5.278 3.664
Cd 0.028 1.049 3.664
Cd 0.025 4.233 5.502
Cd 2.980 5.297 0.000
Cd 2.977 2.112 1.839
Cd 0.025 4.233 1.825
Cd 2.977 2.112 5.489
O 0.703 5.400 0.000
O 0.843 5.271 3.664
O 3.652 4.275 1.913
O 0.700 2.071 1.750
O 3.795 1.075 0.000
O 3.652 4.275 5.414
O 3.655 0.946 3.664
O 0.700 2.071 5.577
```

***

Cu12S3Cl5: optimized geometry, GGA-PBE.

The value obtained for the formation energy from raw total energies is -0.072 eV/atom.

Cell and atoms, written as extended XYZ:
```
80
Lattice="12.144 0.000 0.000 -4.048 11.449 0.000 -4.048 -5.725 9.915" Properties=species:S:1:pos:R:3 pbc="T T T"
S 3.036 6.440 6.197
S -5.060 5.725 7.437
S -3.036 -2.147 8.676
S 5.060 0.716 3.718
S 1.012 5.725 2.479
S 3.036 0.000 7.437
S 9.108 0.000 2.479
S 1.012 -0.716 3.718
S -3.036 2.147 8.676
S 7.084 3.578 1.239
S -1.012 5.009 6.197
S 7.084 7.871 1.239
Cl 1.012 -2.862 7.437
Cl 2.024 2.862 4.958
Cl 4.048 5.725 0.000
Cl -2.024 5.725 0.000
Cl 0.000 0.000 0.000
Cl -4.048 2.862 4.958
Cl -2.024 -2.862 4.958
Cl 5.060 5.009 3.718
Cl -1.012 2.862 2.479
Cl -1.012 9.303 1.239
Cl 6.072 0.000 0.000
Cl 4.048 -2.862 4.958
Cl -1.012 0.716 6.197
Cl 3.036 8.587 2.479
Cl 1.012 3.578 8.676
Cl 7.084 -0.716 6.197
Cl 3.036 2.147 1.239
Cl 5.060 2.862 7.437
Cl 5.060 -3.578 8.676
Cl -3.036 6.440 3.718
Cu 1.616 4.678 6.598
Cu 4.667 -0.684 5.969
Cu 8.061 -2.934 6.339
Cu 2.200 7.255 0.629
Cu -1.616 -0.534 4.205
Cu 0.408 6.771 6.598
Cu 8.272 5.504 1.640
Cu 4.224 -1.310 8.904
Cu -0.176 4.194 0.629
Cu 4.456 5.212 7.523
Cu -1.405 3.760 8.534
Cu 1.848 -1.531 9.287
Cu -3.640 5.190 5.710
Cu 2.432 1.047 3.318
Cu -1.848 -0.221 8.276
Cu 6.037 10.289 0.752
Cu -3.429 9.484 1.381
Cu -0.619 6.408 3.947
Cu 5.453 1.965 1.381
Cu -1.989 2.934 6.339
Cu 5.453 8.801 2.565
Cu -0.035 4.094 4.329
Cu -4.667 3.076 7.350
Cu 4.224 1.531 9.287
Cu 6.480 -0.512 2.392
Cu 4.083 1.631 5.586
Cu 7.477 -3.760 8.534
Cu -4.013 8.658 3.577
Cu -4.224 0.221 8.276
Cu 8.131 1.160 0.752
Cu -1.405 -3.076 7.350
Cu 2.200 4.415 1.011
Cu 6.037 2.791 3.577
Cu 2.643 5.041 3.947
Cu 1.989 -1.631 5.586
Cu 2.059 7.355 4.329
Cu -2.432 6.237 7.523
Cu -4.083 4.564 9.163
Cu -0.176 7.034 1.011
Cu 7.688 0.534 4.205
Cu 3.640 -1.047 3.318
Cu 1.405 0.684 5.969
Cu 5.896 5.945 1.640
Cu 1.848 1.310 8.904
Cu -0.408 0.512 2.392
Cu 5.664 6.259 5.710
Cu -1.989 -4.564 9.163
Cu 8.715 2.649 2.565
```

***

| no. | V (Å³/atom) |
| --- | --- |
| 1 | 38.76 |
| 2 | 25.93 |
| 3 | 19.63 |
| 4 | 39.92 |
| 5 | 34.89 |
| 6 | 20.71 |
| 7 | 32.29 |
| 8 | 13.48 |
| 9 | 14.77 |
| 10 | 13.12 |
| 11 | 20.18 |
| 12 | 18.41 |
| 13 | 14.11 |
| 14 | 44.97 |
| 15 | 17.31 |
| 16 | 27.55 |
| 17 | 16.45 |
| 18 | 19.94 |
| 19 | 17.16 |
| 20 | 17.23 |